Entry 1:
Density functional theory data (PBE) for a geometry-optimized Nd2CdN structure.

Cell: 5.160 6.955 6.955 Å, 64.71 68.23 68.23°
Atoms (fractional coordinates):
1 Nd 0.458 0.823 0.262
2 Nd 0.854 0.615 0.676
3 Nd 0.542 0.238 0.677
4 Nd 0.146 0.824 0.885
5 N 0.635 0.851 0.878
6 N 0.365 0.622 0.649
7 Cd 0.173 0.340 0.313
8 Cd 0.827 0.187 0.160

Output
* offset from the most stable computed form: 44 meV per atom
* volume: 25.3 A^3/atom
* formation energy from raw total energies: -0.7022 eV per atom



Entry 2:
Density functional theory data (PBE) for a geometry-optimized Ca3Pr3Ge4 structure.

Cell: 4.471 7.810 7.810 Å, 90.24 90.00 90.00°
Atoms (fractional coordinates):
1 Ca 0.500 0.176 0.824
2 Ca 0.000 0.002 0.503
3 Ca 0.000 0.497 0.998
4 Ge 0.000 0.880 0.884
5 Ge 0.000 0.618 0.382
6 Ge 0.000 0.116 0.120
7 Ge 0.000 0.386 0.614
8 Pr 0.500 0.324 0.323
9 Pr 0.500 0.677 0.676
10 Pr 0.500 0.826 0.174

Output
* DFT formation energy: -0.714 eV/atom
* volume: 27.3 A^3/atom



Entry 3:
Density functional theory data (PBE) for a geometry-optimized TlHgBr2 structure.

Cell: 4.489 4.489 8.340 Å, 74.39 74.39 60.00°
Atoms (fractional coordinates):
1 Hg 0.499 0.499 0.503
2 Tl 0.667 0.667 0.998
3 Br 0.085 0.085 0.745
4 Br 0.249 0.249 0.253

Output
* offset from the most stable computed form: 108 meV per atom
* volume: 34.6 A^3/atom
* formation energy from raw total energies: -0.4134 eV per atom



Entry 4:
Density functional theory data (PBE) for a geometry-optimized KTa2In structure.

Cell: 4.633 4.633 11.144 Å, 78.00 78.00 90.00°
Atoms (fractional coordinates):
1 Ta 0.988 0.625 0.250
2 Ta 0.762 0.125 0.250
3 Ta 0.875 0.012 0.750
4 Ta 0.375 0.238 0.750
5 In 0.000 0.000 0.000
6 In 0.750 0.250 0.500
7 K 0.250 0.750 0.500
8 K 0.500 0.500 0.000

Output
* DFT formation energy: 1.368 eV/atom
* volume: 28.6 A^3/atom



Entry 5:
Density functional theory data (PBE) for a geometry-optimized Rb2PrGaTe4 structure.

Cell: 9.498 9.498 9.714 Å, 119.69 119.69 92.33°
Atoms (fractional coordinates):
1 Te 0.211 0.233 0.026
2 Te 0.733 0.711 0.526
3 Te 0.210 0.740 0.972
4 Te 0.267 0.289 0.474
5 Te 0.790 0.260 0.028
6 Te 0.789 0.767 0.974
7 Te 0.760 0.290 0.528
8 Te 0.240 0.710 0.472
9 Ga 0.000 0.000 0.000
10 Ga 0.500 0.500 0.500
11 Pr 0.000 0.500 0.500
12 Pr 0.000 0.500 0.000
13 Rb 0.500 0.000 0.000
14 Rb 0.500 0.000 0.500
15 Rb 0.500 0.500 0.000
16 Rb 0.000 0.000 0.500

Output
* volume: 38.3 A^3/atom
* formation energy from raw total energies: -0.8395 eV per atom



Entry 6:
Density functional theory data (PBE) for a geometry-optimized AcLaDyY2 structure.

Cell: 5.915 6.427 9.901 Å, 71.13 90.00 90.00°
Atoms (fractional coordinates):
1 Y 0.750 0.775 0.798
2 Y 0.750 0.968 0.402
3 Y 0.250 0.225 0.202
4 Y 0.250 0.032 0.598
5 La 0.250 0.637 0.402
6 La 0.750 0.363 0.598
7 Dy 0.750 0.164 0.002
8 Dy 0.250 0.836 0.998
9 Ac 0.750 0.572 0.196
10 Ac 0.250 0.428 0.804

Output
* DFT formation energy: 0.040 eV/atom
* volume: 35.6 A^3/atom



Entry 7:
Density functional theory data (PBE) for a geometry-optimized PrSm2S structure.

Cell: 3.768 3.768 10.550 Å, 79.71 79.71 60.00°
Last column: magnetic moment on the atom in μB.
Atoms (fractional coordinates):
1 S 0.500 0.500 0.500  0.00
2 Sm 0.887 0.887 0.338  0.04
3 Sm 0.113 0.113 0.662  0.04
4 Pr 0.000 0.000 0.000  0.20

Output
* offset from the most stable computed form: 169 meV per atom
* volume: 31.7 A^3/atom
* formation energy from raw total energies: -0.7616 eV per atom



Entry 8:
Density functional theory data (PBE) for a geometry-optimized KBa2W structure.

Cell: 6.117 6.117 6.117 Å, 60.00 60.00 60.00°
Last column: magnetic moment on the atom in μB.
Atoms (fractional coordinates):
1 Ba 0.250 0.250 0.250  -0.07
2 Ba 0.000 0.000 0.000  0.01
3 W 0.750 0.750 0.750  2.72
4 K 0.500 0.500 0.500  0.00

Output
* offset from the most stable computed form: 359 meV per atom
* DFT formation energy: 1.356 eV/atom
* volume: 40.5 A^3/atom